(1)
Computed, not measured: BeTeRu2 after structural relaxation at the PBE level of DFT.

Results
**E_form (uncorrected)**: 0.2371 eV per atom
**Calculated volume**: 59.3 Å³/cell
**DFT total energy**: -6.118 eV per atom
**Magnetization**: 0.00 μB per formula unit
**DOS at the Fermi energy**: 0.752 states/eV per atom

Lattice parameters (Å, degrees): 3.665 3.055 5.555 72.47 90.00 90.00
Positions (direct):
Ru1 0.000 0.899 0.967
Ru2 0.000 0.601 0.533
Te1 0.500 0.250 0.250
Be1 0.500 0.750 0.750

=====

(2)
Computed, not measured: Sm4In3Ir after structural relaxation at the PBE level of DFT.

Results
**Calculated volume**: 211.8 Å³/cell
**DFT total energy**: -5.031 eV per atom
**Magnetization**: 0.00 μB per formula unit
**DOS at the Fermi energy**: 0.602 states/eV per atom

Lattice parameters (Å, degrees): 3.623 3.623 16.130 90.00 90.00 90.00
Positions (direct):
In1 0.500 0.500 0.239
In2 0.500 0.500 0.761
In3 0.500 0.500 0.500
Ir1 0.500 0.500 0.000
Sm1 0.000 0.000 0.102
Sm2 0.000 0.000 0.898
Sm3 0.000 0.000 0.632
Sm4 0.000 0.000 0.368

=====

(3)
Computed, not measured: CaHoSnPb after structural relaxation at the PBE level of DFT.

Results
**Calculated volume**: 114.1 Å³/cell
**DFT total energy**: -4.043 eV per atom
**Magnetization**: 0.00 μB per formula unit
**DOS at the Fermi energy**: 0.757 states/eV per atom

Lattice parameters (Å, degrees): 5.444 5.444 5.444 60.00 60.00 60.00
Positions (direct):
Pb1 0.750 0.750 0.750
Ca1 0.500 0.500 0.500
Ho1 0.000 0.000 0.000
Sn1 0.250 0.250 0.250

=====

- Which of these has the lowest DOS at the Fermi energy?
  Sm4In3Ir